Record 1
Density functional theory data (PBE-GGA) for crystalline Nd2DyZrN4 at its relaxed geometry.

* density of states at the Fermi level: 1.088 states/eV per cell
* E_form (uncorrected): -1541 meV/atom

abc: 3.478 6.031 6.090
angles: 109.08 90.00 90.00
Fractional positions:
Zr 0.000 0.000 0.000
Nd 0.000 0.500 0.500
N 0.500 0.768 0.777
Dy 0.500 0.500 0.000
N 0.000 0.755 0.228
N 0.000 0.245 0.772
Nd 0.500 0.000 0.500
N 0.500 0.232 0.223

---

Record 2
Density functional theory data (PBE-GGA) for crystalline CeNd2SmY5 at its relaxed geometry.

* energy of formation: 0.25 eV per atom
* density of states at the Fermi level: 30.620 states/eV per cell

abc: 8.696 8.696 9.967
angles: 115.87 115.87 90.00
Fractional positions:
Y 0.158 0.064 0.721
Y 0.500 0.500 0.000
Y 0.936 0.436 0.279
Y 0.064 0.564 0.721
Y 0.436 0.342 0.279
Y 0.000 0.000 0.000
Y 0.564 0.658 0.721
Nd 0.620 0.120 0.000
Sm 0.250 0.250 0.500
Nd 0.880 0.620 0.000
Nd 0.120 0.380 0.000
Y 0.342 0.842 0.279
Nd 0.380 0.880 0.000
Y 0.842 0.936 0.279
Ce 0.750 0.250 0.500
Ce 0.250 0.750 0.500
Sm 0.750 0.750 0.500
Y 0.658 0.158 0.721

---

Record 3
Density functional theory data (PBE-GGA) for crystalline Ba3TiCr at its relaxed geometry.

* energy of formation: 1.04 eV per atom
* polymorph energy (0 for the lowest one): 0 meV/atom
* density of states at the Fermi level: 8.595 states/eV per cell

abc: 6.283 6.283 6.283
angles: 90.00 90.00 90.00
Fractional positions:
Ba 0.500 0.000 0.000
Ba 0.000 0.500 0.000
Cr 0.000 0.000 0.000
Ba 0.000 0.000 0.500
Ti 0.500 0.500 0.500

---

Record 4
Density functional theory data (PBE-GGA) for crystalline BaTcRh at its relaxed geometry.

* energy of formation: 0.22 eV per atom
* polymorph energy (0 for the lowest one): 164 meV/atom
* density of states at the Fermi level: 5.178 states/eV per cell

abc: 4.013 10.178 4.014
angles: 101.88 87.65 101.85
Fractional positions:
Rh 0.193 0.856 0.106
Ba 0.950 0.347 0.841
Rh 0.366 0.201 0.279
Tc 0.392 0.029 0.679
Tc 0.793 0.029 0.080
Ba 0.632 0.711 0.522

---

For reference, calculated volume by record: 15.1 33.0 49.6 26.2 A^3/atom.